Material: Mn3BO
Method: DFT, PBE with a Hubbard U
State: optimized geometry

* D(E_F): 1.12 states/eV/f.u.
* relative energy among the computed polymorphs: 0.000 eV per atom
* M_tot: 13.963 μB per formula unit

Unit cell a=4.1984 b=4.1984 c=4.1984 alpha=90.00 beta=90.00 gamma=90.00
Sites, in units of the cell vectors:
Mn (0.0000, 0.0000, 0.5000)
Mn (0.0000, 0.5000, 0.0000)
Mn (0.5000, 0.0000, 0.0000)
B (0.5000, 0.5000, 0.5000)
O (0.0000, 0.0000, 0.0000)